(1)
Cr5Ru3, relaxed, DFT GGA-PBE; energy = -148.9 eV/cell; calculated density = 9.1 Mg/m³; energy of formation = 1.5 eV/f.u.; V = 205 Å³/cell; density of states at the Fermi level = 15.18 states/eV/cell; space-group type = Pm (6); energy relative to the lowest polymorph listed for this composition = 0.000 eV/atom
1.0
6.897 0.757 0.000
4.208 7.033 0.000
0.000 0.000 4.517
Ru Cr
6 10
Direct
0.778 0.401 0.750
0.279 0.600 0.750
0.097 0.187 0.250
0.092 0.779 0.250
0.279 0.181 0.750
0.330 0.365 0.250
0.924 0.574 0.014
0.783 0.891 0.750
0.444 0.809 0.992
0.586 0.488 0.250
0.924 0.574 0.486
0.444 0.809 0.508
0.594 0.982 0.250
0.803 0.133 0.250
0.589 0.222 0.750
0.055 0.005 0.750

=====

(2)
Ca2AcEr, relaxed, DFT GGA-PBE; energy = -12.2 eV/cell; calculated density = 5.1 Mg/m³; energy of formation = 0.4 eV/f.u.; V = 156 Å³/cell; density of states at the Fermi level = 5.65 states/eV/cell; space-group type = R3m (160); energy relative to the lowest polymorph listed for this composition = 0.000 eV/atom
1.0
3.801 0.000 0.000
1.900 3.292 0.000
1.900 1.097 12.467
Er Ca Ac
1 2 1
Direct
0.500 0.500 0.500
0.245 0.245 0.264
0.088 0.088 0.737
0.667 0.667 0.000

=====

(3)
Hf2NbTl2, relaxed, DFT GGA-PBE; energy = -66.4 eV/cell; calculated density = 12.9 Mg/m³; energy of formation = 1.5 eV/f.u.; V = 221 Å³/cell; density of states at the Fermi level = 10.14 states/eV/cell; space-group type = P4/mbm (127); energy relative to the lowest polymorph listed for this composition = 0.000 eV/atom
1.0
7.581 0.000 0.000
0.000 7.581 0.000
0.000 0.000 3.850
Tl Nb Hf
4 2 4
Direct
0.635 0.135 0.000
0.865 0.635 0.000
0.135 0.365 0.000
0.365 0.865 0.000
0.000 0.000 0.000
0.500 0.500 0.000
0.172 0.672 0.500
0.828 0.328 0.500
0.328 0.172 0.500
0.672 0.828 0.500